Run P
This record from Alexandria describes NbSi3Br after structural relaxation. The functional is PBE-GGA.

The density comes out at 4.0 g/cm3. Its volume is 21.1 A^3/atom.

a = 4.7254 Å, b = 4.7254 Å, c = 4.7254 Å
α = 90.00°, β = 90.00°, γ = 90.00°
Last column: nearest neighbours and their distance in Å.
Fractional positions:
Nb: 0.0000 0.0000 0.0000  12 Si 3.34
Si: 0.0000 0.5000 0.5000  2 Br 2.36
Si: 0.5000 0.0000 0.5000  2 Br 2.36
Si: 0.5000 0.5000 0.0000  2 Br 2.36
Br: 0.5000 0.5000 0.5000  6 Si 2.36



Run Q
This record from Alexandria describes NbSi3Br after structural relaxation. The functional is PBE-GGA.

The density comes out at 3.5 g/cm3. Its volume is 24.7 A^3/atom.

a = 4.9822 Å, b = 4.9822 Å, c = 4.9822 Å
α = 90.00°, β = 90.00°, γ = 90.00°
Last column: nearest neighbours and their distance in Å.
Fractional positions:
Nb: 0.0000 0.0000 0.0000  6 Si 2.49
Si: 0.0000 0.0000 0.5000  2 Nb 2.49
Si: 0.0000 0.5000 0.0000  2 Nb 2.49
Si: 0.5000 0.0000 0.0000  2 Nb 2.49
Br: 0.5000 0.5000 0.5000  12 Si 3.52



Short version: run Q is the most stable of them.